# NdNpMoO6, relaxed, DFT GGA+U
# Raw total energy = -8.590 eV/atom
# Crystal system = trigonal
data_NdNpMoO6
_chemical_formula_sum 'Nd2 Np2 Mo2 O12'
_cell_length_a 5.802
_cell_length_b 5.802
_cell_length_c 8.794
_cell_angle_alpha 90.00
_cell_angle_beta 90.00
_cell_angle_gamma 120.00
_space_group_name_H-M_alt 'P 1'
_space_group_IT_number 1
loop_
_space_group_symop_operation_xyz
'x,y,z'
loop_
_atom_site_label
_atom_site_type_symbol
_atom_site_fract_x
_atom_site_fract_y
_atom_site_fract_z
Nd1 Nd 0.333 0.667 0.250
Nd2 Nd 0.667 0.333 0.750
Np1 Np 0.333 0.667 0.750
Np2 Np 0.667 0.333 0.250
Mo1 Mo 0.000 0.000 0.000
Mo2 Mo 0.000 0.000 0.500
O1 O 0.040 0.349 0.625
O2 O 0.040 0.690 0.875
O3 O 0.310 0.349 0.875
O4 O 0.310 0.960 0.625
O5 O 0.349 0.040 0.125
O6 O 0.349 0.310 0.375
O7 O 0.651 0.690 0.625
O8 O 0.651 0.960 0.875
O9 O 0.690 0.040 0.375
O10 O 0.690 0.651 0.125
O11 O 0.960 0.310 0.125
O12 O 0.960 0.651 0.375